Material: ZnReAs2
Method: DFT, PBE-GGA
State: relaxed

For the energy of formation from the pure elements, the calculation gives 0.149 eV per atom.

It has space group P4/mmm (No. 123), with a = 3.058 Å, b = 3.058 Å, c = 7.435 Å, α = 90.00°, β = 90.00° and γ = 90.00°. The asymmetric unit holds Zn at (0.000, 0.000, 0.000), Re at (0.000, 0.000, 0.500) and As at (0.500, 0.500, 0.293).

---

Material: AgHgTe2
Method: DFT, PBE-GGA
State: relaxed

As for the uncorrected energy: -9.59 eV per cell.

It has space group P3m1 (No. 156), with a = 4.5249 Å, b = 4.5249 Å, c = 7.6666 Å, α = 90.00°, β = 90.00° and γ = 120.00°. The asymmetric unit holds Ag at (0.0000, 0.0000, 0.0000), Hg at (0.3333, 0.6667, 0.5164), Te at (0.0000, 0.0000, 0.3635) and Te at (0.3333, 0.6667, 0.8829).

---

Number 1: size of the total moment 0.000 μB per atom, calculated volume 69.5 Å³/cell. Number 2: size of the total moment 0.000 μB per atom, calculated volume 135.9 Å³/cell.